Run 1
Compound: TbTa
Source: the Open Quantum Materials Database
Functional: PBE
Structure: optimized geometry

For the magnetic moment, the calculation gives 0.03 μB/f.u.

Cell: 4.1839 4.1839 4.1839 Å, 60.00 60.00 60.00°
Fractional positions:
Ta1 0.0000 0.0000 0.0000
Tb1 0.5000 0.5000 0.5000

Run 2
Compound: TbTa
Source: the Open Quantum Materials Database
Functional: PBE
Structure: optimized geometry

For the magnetic moment, the calculation gives 0.01 μB/f.u.

Cell: 3.1732 3.1732 5.3048 Å, 90.00 90.00 120.00°
Fractional positions:
Ta1 0.6667 0.3333 0.7500
Tb1 0.3333 0.6667 0.2500

Going by the energies, run 2 is most stable and the next is 1007 meV per atom up.

Run 1
Compound: CdPtSO
Source: the Open Quantum Materials Database
Functional: PBE
Structure: optimized geometry

For the magnetic moment, the calculation gives 0.01 μB/f.u.

Cell: 3.9372 3.9372 8.3763 Å, 90.00 90.00 90.00°
Fractional positions:
Cd1 0.7500 0.2500 0.0000
Cd2 0.2500 0.7500 0.0000
O1 0.2500 0.2500 0.4944
O2 0.7500 0.7500 0.5056
Pt1 0.7500 0.7500 0.2423
Pt2 0.2500 0.2500 0.7577
S1 0.2500 0.2500 0.3139
S2 0.7500 0.7500 0.6861

Run 2
Compound: CdPtSO
Source: the Open Quantum Materials Database
Functional: PBE
Structure: optimized geometry

For the magnetic moment, the calculation gives 0.00 μB/f.u.

Cell: 7.5144 5.7659 6.8433 Å, 90.00 90.00 90.00°
Fractional positions:
Cd1 0.3355 0.1570 0.0662
Cd2 0.6645 0.6570 0.4338
Cd3 0.1645 0.8430 0.5662
Cd4 0.8355 0.3430 0.9338
O1 0.6301 0.1322 0.0917
O2 0.3699 0.6322 0.4083
O3 0.8699 0.8678 0.5917
O4 0.1301 0.3678 0.9083
Pt1 0.7392 0.8156 0.0423
Pt2 0.2608 0.3156 0.4577
Pt3 0.7608 0.1844 0.5423
Pt4 0.2392 0.6844 0.9577
S1 0.0051 0.7496 0.1573
S2 0.9949 0.2496 0.3427
S3 0.4949 0.2504 0.6573
S4 0.5050 0.7504 0.8427

Going by the energies, run 2 is most stable and the next is 186 meV per atom up.